# 1
Entry from the Alexandria database: a geometry-optimized CrPbAu4 structure (PBE).

Lattice parameters (Å, degrees): 5.5992 5.5992 5.5992 60.00 60.00 60.00
Closest atoms and distances in Å follow each position.
Fractional positions:
Au  0.3755  0.3755  0.8736  6 Au 2.79-2.81
Au  0.3755  0.8736  0.3755  6 Au 2.79-2.81
Au  0.3755  0.3755  0.3755  6 Au 2.79-2.81
Au  0.8736  0.3755  0.3755  6 Au 2.79-2.81
Cr  0.7500  0.7500  0.7500  12 Au 3.28, 4 Pb 3.43
Pb  0.0000  0.0000  0.0000  12 Au 3.28, 4 Cr 3.43

Values from the calculation:
The energy of formation comes out at 0.16 eV per atom. The calculation puts the final energy at -4.25 eV per atom. The density of states at the Fermi level comes out at 0.41 states/eV per atom.

# 2
Entry from the Alexandria database: a geometry-optimized Rb2Na2OsO6 structure (PBE).

Lattice parameters (Å, degrees): 5.7787 5.7787 6.6978 100.12 100.12 116.93
Closest atoms and distances in Å follow each position.
Fractional positions:
O  0.3252  0.0536  0.6733  1 Os 1.89
O  0.6748  0.9464  0.3267  1 Os 1.89
O  0.1970  0.1970  0.3325  1 Os 1.89
O  0.8030  0.8030  0.6675  1 Os 1.89
O  0.9464  0.6748  0.3267  1 Os 1.89
O  0.0536  0.3252  0.6733  1 Os 1.89
Na  0.6596  0.3404  0.5000  6 O 2.39-2.53
Na  0.3404  0.6596  0.5000  6 O 2.39-2.53
Os  0.0000  0.0000  0.5000  6 O 1.89
Rb  0.1794  0.8206  0.0000  6 O 2.78-2.98
Rb  0.8206  0.1794  0.0000  6 O 2.78-2.98

Values from the calculation:
As for the energy relative to the elements, uncorrected: -1368 meV/atom. The calculation puts the final energy at -5.51 eV per atom.

# 3
Entry from the Alexandria database: a geometry-optimized HfRu2Br structure (PBE).

Lattice parameters (Å, degrees): 5.5693 5.5693 7.1796 67.18 67.18 90.00
Closest atoms and distances in Å follow each position.
Fractional positions:
Ru  0.6028  0.1250  0.2500  2 Br 2.41, 2 Hf 2.55
Ru  0.3750  0.3972  0.7500  2 Br 2.41, 2 Hf 2.55
Ru  0.8750  0.8528  0.7500  2 Br 2.41, 2 Hf 2.55
Ru  0.1472  0.6250  0.2500  2 Br 2.41, 2 Hf 2.55
Br  0.2500  0.7500  0.5000  4 Ru 2.41
Br  0.5000  0.5000  0.0000  4 Ru 2.41
Hf  0.7500  0.2500  0.5000  4 Ru 2.55
Hf  0.0000  0.0000  0.0000  4 Ru 2.55

Values from the calculation:
As for the energy relative to the elements, uncorrected: 783 meV/atom. The calculation puts the final energy at -6.76 eV per atom. The value obtained for the offset from the most stable computed form is 326 meV/atom. The density of states at the Fermi level comes out at 0.95 states/eV per atom.

# 4
Entry from the Alexandria database: a geometry-optimized Pa3PS2 structure (PBE).

Lattice parameters (Å, degrees): 4.0589 5.5533 6.6309 114.76 107.84 90.00
Closest atoms and distances in Å follow each position.
Fractional positions:
Pa  0.8321  0.8321  0.6643  4 S 2.77-2.78, 2 P 2.78
Pa  0.5000  0.5000  0.0000  4 S 2.76, 2 P 2.78
Pa  0.1679  0.1679  0.3357  4 S 2.77-2.78, 2 P 2.78
S  0.1655  0.6655  0.3310  6 Pa 2.76-2.78
S  0.8345  0.3345  0.6690  6 Pa 2.76-2.78
P  0.5000  0.0000  0.0000  6 Pa 2.78

Values from the calculation:
As for the energy relative to the elements, uncorrected: -1521 meV/atom. The calculation puts the final energy at -8.55 eV per atom. The density of states at the Fermi level comes out at 1.61 states/eV per atom.

# 5
Entry from the Alexandria database: a geometry-optimized Hg2Te2I structure (PBE).

Lattice parameters (Å, degrees): 4.6084 4.6084 8.2904 73.86 73.86 90.00
Closest atoms and distances in Å follow each position.
Fractional positions:
Hg  0.2500  0.7500  0.5000  4 Te 2.98, 4 Hg 3.26
Hg  0.7500  0.2500  0.5000  4 Te 2.98, 4 Hg 3.26
Te  0.3735  0.3735  0.2529  4 Hg 2.98
Te  0.6265  0.6265  0.7471  4 Hg 2.98
I  0.0000  0.0000  0.0000  8 Te 3.79

Values from the calculation:
As for the energy relative to the elements, uncorrected: 65 meV/atom. The calculation puts the final energy at -1.62 eV per atom. The value obtained for the offset from the most stable computed form is 115 meV/atom. The density of states at the Fermi level comes out at 1.00 states/eV per atom.

# 6
Entry from the Alexandria database: a geometry-optimized Pm2Nb2N5 structure (PBE).

Lattice parameters (Å, degrees): 3.4969 7.2686 6.1073 58.64 73.36 76.08
Closest atoms and distances in Å follow each position.
Fractional positions:
N  0.3457  0.8304  0.4782  2 Nb 2.04
N  0.1184  0.5440  0.2192  2 Nb 2.01-2.21
N  0.6543  0.1696  0.5218  2 Nb 2.04
N  0.0000  0.0000  0.0000  2 Nb 2.11
N  0.8816  0.4560  0.7808  2 Nb 2.01-2.21
Nb  0.9397  0.7371  0.3835  5 N 2.01-2.21
Nb  0.0603  0.2629  0.6165  5 N 2.01-2.21
Pm  0.6703  0.7776  0.8817  8 N 2.54-2.81
Pm  0.3297  0.2224  0.1183  8 N 2.54-2.81

Values from the calculation:
As for the energy relative to the elements, uncorrected: -1121 meV/atom. The calculation puts the final energy at -9.04 eV per atom. The density of states at the Fermi level comes out at 0.35 states/eV per atom.

# 7
Entry from the Alexandria database: a geometry-optimized Dy2VCrN5 structure (PBE).

Lattice parameters (Å, degrees): 3.2266 6.8711 9.8375 90.00 90.00 103.58
Closest atoms and distances in Å follow each position.
Fractional positions:
Dy  0.1137  0.2274  0.6733  6 N 2.35-2.53
Dy  0.8631  0.7261  0.8166  7 N 2.42-2.48
Dy  0.1369  0.2739  0.3166  7 N 2.42-2.48
Dy  0.8863  0.7726  0.1733  6 N 2.35-2.53
N  0.6496  0.2992  0.5067  1 Cr 1.86
N  0.0449  0.0898  0.0331  2 V 1.86
N  0.2910  0.5820  0.6521  2 Cr 1.98
N  0.5042  0.0085  0.2841  1 V 1.76
N  0.3139  0.6278  0.3812  1 V 1.81
N  0.6861  0.3722  0.8812  1 V 1.81
N  0.9551  0.9102  0.5331  2 V 1.86
N  0.3504  0.7008  0.0067  1 Cr 1.86
N  0.7090  0.4180  0.1521  2 Cr 1.98
N  0.4958  0.9915  0.7841  1 V 1.76
V  0.5584  0.1167  0.9417  4 N 1.76-1.86
V  0.4416  0.8833  0.4417  4 N 1.76-1.86
Cr  0.2129  0.4258  0.0352  3 N 1.86-1.98
Cr  0.7871  0.5742  0.5352  3 N 1.86-1.98

Values from the calculation:
As for the energy relative to the elements, uncorrected: -1084 meV/atom. The calculation puts the final energy at -8.81 eV per atom. The density of states at the Fermi level comes out at 0.07 states/eV per atom.

# 8
Entry from the Alexandria database: a geometry-optimized La3Tb6Sm2Sc structure (PBE).

Lattice parameters (Å, degrees): 6.2227 6.2227 11.9075 95.00 95.00 120.03
Closest atoms and distances in Å follow each position.
Fractional positions:
Tb  0.2494  0.2494  0.7561  1 Sc 3.52, 2 Sm 3.53, 6 Tb 3.56-3.61, 3 La 3.65-3.66
Tb  0.9194  0.5893  0.7564  1 Sc 3.52, 2 Sm 3.54, 6 Tb 3.56-3.61, 3 La 3.65-3.66
Tb  0.4107  0.0806  0.2436  1 Sc 3.52, 2 Sm 3.54, 6 Tb 3.56-3.61, 3 La 3.65-3.66
Tb  0.0806  0.4107  0.2436  1 Sc 3.52, 2 Sm 3.54, 6 Tb 3.56-3.61, 3 La 3.65-3.66
Tb  0.5893  0.9194  0.7564  1 Sc 3.52, 2 Sm 3.54, 6 Tb 3.56-3.61, 3 La 3.65-3.66
Tb  0.7506  0.7506  0.2439  1 Sc 3.52, 2 Sm 3.53, 6 Tb 3.56-3.61, 3 La 3.65-3.66
Sm  0.6663  0.3337  0.0000  6 Tb 3.53-3.54, 3 Sm 3.58-3.60, 3 Sc 3.59-3.60
Sm  0.3337  0.6663  0.0000  6 Tb 3.53-3.54, 3 Sm 3.58-3.60, 3 Sc 3.59-3.60
La  0.5000  0.5000  0.5000  6 La 3.59, 6 Tb 3.65-3.66
La  0.1668  0.8332  0.5000  6 La 3.59-3.60, 6 Tb 3.65-3.66
La  0.8332  0.1668  0.5000  6 La 3.59-3.60, 6 Tb 3.65-3.66
Sc  0.0000  0.0000  0.0000  6 Tb 3.52, 6 Sm 3.59-3.60

Values from the calculation:
The energy of formation comes out at 0.03 eV per atom. The calculation puts the final energy at -4.83 eV per atom. The density of states at the Fermi level comes out at 1.40 states/eV per atom.

# 9
Entry from the Alexandria database: a geometry-optimized Li2Ga2Au structure (PBE).

Lattice parameters (Å, degrees): 4.4116 4.3923 5.2574 64.89 65.19 59.85
Closest atoms and distances in Å follow each position.
Fractional positions:
Ga  0.4033  0.4042  0.7891  1 Ga 2.66, 4 Li 2.68-2.79, 3 Au 2.72
Ga  0.5967  0.5958  0.2109  1 Ga 2.66, 4 Li 2.68-2.79, 3 Au 2.72
Au  0.0000  0.0000  0.0000  6 Ga 2.72, 2 Li 2.77
Li  0.7986  0.7986  0.6042  4 Ga 2.68-2.79, 3 Li 2.71, 1 Au 2.77
Li  0.2014  0.2014  0.3958  4 Ga 2.68-2.79, 3 Li 2.71, 1 Au 2.77

Values from the calculation:
The energy of formation comes out at -0.42 eV per atom. The calculation puts the final energy at -3.06 eV per atom. The value obtained for the offset from the most stable computed form is 0 meV/atom. The density of states at the Fermi level comes out at 0.23 states/eV per atom.

The evaluated volume for the records listed, in turn: 20.69 17.08 23.28 21.30 32.38 14.02 11.78 32.76 15.39 A^3/atom.